# 1
! BaDyGa, optimized geometry, DFT PBE; values from VASP
! - total DFT energy (no corrections) (eV/atom) = -3.410
! - formation energy from the elements (eV per atom) = -0.226
&SYSTEM
  ibrav = 0, nat = 3, ntyp = 3
/
ATOMIC_SPECIES
Dy 162.50 Dy.upf
Ba 137.33 Ba.upf
Ga 69.72 Ga.upf
CELL_PARAMETERS angstrom
-3.6803 -1.1134 0.2960
0.9337 -2.3021 2.9496
0.1815 6.8048 2.7326
ATOMIC_POSITIONS crystal
Dy 0.2866 0.2866 0.5731
Ba 0.0199 0.0199 0.0397
Ga 0.6936 0.6936 0.3872

---

# 2
! BaDyGa2, optimized geometry, DFT PBE; values from VASP
! - polymorph energy (0 for the lowest one) (meV/atom) = 0
! - total DFT energy (no corrections) (eV/atom) = -3.592
! - formation energy from the elements (eV per atom) = -0.448
&SYSTEM
  ibrav = 0, nat = 4, ntyp = 3
/
ATOMIC_SPECIES
Ga 69.72 Ga.upf
Dy 162.50 Dy.upf
Ba 137.33 Ba.upf
CELL_PARAMETERS angstrom
-2.7449 0.5708 -2.5711
-0.8305 -3.7117 0.0627
-5.0703 1.2306 5.6862
ATOMIC_POSITIONS crystal
Ga 0.0000 0.0000 0.1964
Ga 0.0000 0.0000 0.8036
Dy 0.5000 0.5000 0.0000
Ba 0.5000 0.5000 0.5000

---

# 3
! BaDyGa4, optimized geometry, DFT PBE; values from VASP
! - total DFT energy (no corrections) (eV/atom) = -3.476
! - formation energy from the elements (eV per atom) = -0.370
&SYSTEM
  ibrav = 0, nat = 6, ntyp = 3
/
ATOMIC_SPECIES
Ba 137.33 Ba.upf
Dy 162.50 Dy.upf
Ga 69.72 Ga.upf
CELL_PARAMETERS angstrom
5.7546 0.0000 0.0000
2.8773 4.9836 0.0000
2.8773 1.6612 4.6986
ATOMIC_POSITIONS crystal
Ba 0.2500 0.2500 0.2500
Dy 0.0000 0.0000 0.0000
Ga 0.6256 0.6256 0.1232
Ga 0.6256 0.6256 0.6256
Ga 0.1232 0.6256 0.6256
Ga 0.6256 0.1232 0.6256

---

# 4
! BaDyGaO4, optimized geometry, DFT PBE; values from VASP
! - total DFT energy (no corrections) (eV/atom) = -6.874
! - formation energy without anion corrections (eV per atom) = -2.68
&SYSTEM
  ibrav = 0, nat = 14, ntyp = 4
/
ATOMIC_SPECIES
O 16.00 O.upf
Ga 69.72 Ga.upf
Ba 137.33 Ba.upf
Dy 162.50 Dy.upf
CELL_PARAMETERS angstrom
5.7628 0.0000 -0.0065
0.0000 5.8587 0.0000
-2.2725 0.0000 6.8833
ATOMIC_POSITIONS crystal
O 0.9717 0.4859 0.6971
O 0.4844 0.7500 0.5777
O 0.5421 0.2500 0.8268
O 0.4579 0.7500 0.1732
O 0.0283 0.9859 0.3029
O 0.5156 0.2500 0.4223
O 0.9717 0.0141 0.6971
O 0.0283 0.5141 0.3029
Ga 0.2610 0.7500 0.3328
Ga 0.7390 0.2500 0.6672
Ba 0.7141 0.7500 0.9338
Ba 0.2859 0.2500 0.0662
Dy 0.8069 0.7500 0.4624
Dy 0.1931 0.2500 0.5376

---

Please write out number 3 again, unchanged.
! BaDyGa4, optimized geometry, DFT PBE; values from VASP
! - total DFT energy (no corrections) (eV/atom) = -3.476
! - formation energy from the elements (eV per atom) = -0.370
&SYSTEM
  ibrav = 0, nat = 6, ntyp = 3
/
ATOMIC_SPECIES
Ba 137.33 Ba.upf
Dy 162.50 Dy.upf
Ga 69.72 Ga.upf
CELL_PARAMETERS angstrom
5.7546 0.0000 0.0000
2.8773 4.9836 0.0000
2.8773 1.6612 4.6986
ATOMIC_POSITIONS crystal
Ba 0.2500 0.2500 0.2500
Dy 0.0000 0.0000 0.0000
Ga 0.6256 0.6256 0.1232
Ga 0.6256 0.6256 0.6256
Ga 0.1232 0.6256 0.6256
Ga 0.6256 0.1232 0.6256